Entry 1:
First-principles (PBE) data for an optimized crystal structure of Cu2ReNi, as listed in Alexandria.

Output
Magnetic moment: 0.000 μB/cell
E_form: 0.154 eV/atom
Energy above the lowest structure with this stoichiometry: 0.0759 eV per atom
Space group: Pm, No. 6

Lattice parameters (Å, degrees): 2.536 3.992 5.112 90.00 104.15 90.00
Fractional positions:
Cu  0.000  0.000  0.000
Cu  0.395  0.500  0.793
Re  0.736  0.000  0.483
Ni  0.143  0.500  0.293

Entry 2:
First-principles (PBE) data for an optimized crystal structure of CuRe4Ni, as listed in Alexandria.

Output
Magnetic moment: 0.000 μB/cell
E_form: 0.741 eV/atom
Space group: F-43m, No. 216

Lattice parameters (Å, degrees): 5.122 5.122 5.122 60.00 60.00 60.00
Fractional positions:
Cu  0.000  0.000  0.000
Re  0.125  0.625  0.625
Re  0.625  0.125  0.625
Re  0.625  0.625  0.125
Re  0.625  0.625  0.625
Ni  0.250  0.250  0.250

Entry 3:
First-principles (PBE) data for an optimized crystal structure of Cu4ReNi, as listed in Alexandria.

Output
Magnetic moment: 1.934 μB/cell
E_form: 0.386 eV/atom
Space group: F-43m, No. 216

Lattice parameters (Å, degrees): 4.717 4.717 4.717 60.00 60.00 60.00
Fractional positions:
Cu  0.125  0.125  0.125
Cu  0.125  0.125  0.625
Cu  0.125  0.625  0.125
Cu  0.625  0.125  0.125
Re  0.500  0.500  0.500
Ni  0.750  0.750  0.750